# ScNiN2O, relaxed, DFT GGA+U
# Volume = 13.89 Å³/atom
# Magnetic moment = 4.5 μB per formula unit
# Final energy = -27.5 eV/f.u.
# DOS at the Fermi energy = 0.5294 states/eV/atom
# Crystal system = tetragonal
data_ScNiN2O
_symmetry_space_group_name_H-M 'P 4/m m m'
_symmetry_Int_Tables_number 123
_symmetry_space_group_name_Hall '-P 4 2'
_cell_length_a 4.180
_cell_length_b 4.180
_cell_length_c 3.975
_cell_angle_alpha 90.00
_cell_angle_beta 90.00
_cell_angle_gamma 90.00
loop_
_atom_site_label
_atom_site_fract_x
_atom_site_fract_y
_atom_site_fract_z
Sc1 0.000 0.000 0.000
Ni1 0.500 0.500 0.500
N1 0.000 0.500 0.000
O1 0.000 0.000 0.500